(1)
Compound: Ac2NdErTe6
Source: Alexandria via LeMat-Bulk
Functional: PBE
Structure: relaxed

Cell: 8.141 8.141 8.527 Å, 61.49 61.49 60.01°
Fractional coordinates of all 10 atoms:
Te 0.444 0.690 0.765
Te 0.198 0.954 0.258
Te 0.100 0.444 0.765
Te 0.691 0.100 0.765
Te 0.589 0.198 0.258
Te 0.955 0.589 0.258
Ac 0.522 0.522 0.434
Ac 0.021 0.021 0.937
Er 0.322 0.322 0.035
Nd 0.820 0.820 0.539

Properties
Fermi-level density of states ... 0.00 states/eV/f.u.
ΔE_f (raw) ... -1391.4 kJ/mol of formula units
Spin magnetization ... 0.00 Bohr magnetons per cell

(2)
Compound: AcNdErTe3
Source: Alexandria via LeMat-Bulk
Functional: PBE
Structure: relaxed

Cell: 4.619 8.754 10.629 Å, 110.69 90.00 90.00°
Fractional coordinates of all 12 atoms:
Nd 0.250 0.643 0.121
Nd 0.750 0.357 0.879
Te 0.750 0.893 0.104
Te 0.750 0.458 0.207
Te 0.750 0.242 0.486
Te 0.250 0.758 0.514
Te 0.250 0.107 0.896
Te 0.250 0.542 0.793
Ac 0.750 0.814 0.766
Ac 0.250 0.186 0.234
Er 0.250 0.137 0.618
Er 0.750 0.863 0.382

Properties
Fermi-level density of states ... 4.07 states/eV/f.u.
ΔE_f (raw) ... -738.7 kJ/mol of formula units
Spin magnetization ... 0.00 Bohr magnetons per cell

(3)
Compound: AcNdErTh
Source: Alexandria via LeMat-Bulk
Functional: PBE
Structure: relaxed

Cell: 5.851 5.851 5.851 Å, 60.00 60.00 60.00°
Fractional coordinates of all 4 atoms:
Ac 0.500 0.500 0.500
Nd 0.250 0.250 0.250
Th 0.000 0.000 0.000
Er 0.750 0.750 0.750

Properties
Formation energy ... 0.17 eV per atom
Fermi-level density of states ... 7.09 states/eV/f.u.
Spin magnetization ... 0.00 Bohr magnetons per cell

(4)
Compound: AcNdEr2Tl4
Source: Alexandria via LeMat-Bulk
Functional: PBE
Structure: relaxed

Cell: 5.517 5.517 9.588 Å, 73.28 73.28 60.00°
Fractional coordinates of all 8 atoms:
Tl 0.622 0.622 0.134
Tl 0.873 0.873 0.382
Tl 0.127 0.127 0.618
Tl 0.378 0.378 0.866
Nd 0.500 0.500 0.500
Er 0.249 0.249 0.252
Er 0.751 0.751 0.748
Ac 0.000 0.000 0.000

Properties
Formation energy ... -0.32 eV per atom
Fermi-level density of states ... 6.63 states/eV/f.u.
Spin magnetization ... 0.00 Bohr magnetons per cell

(5)
Compound: AcNd6ErTm2
Source: Alexandria via LeMat-Bulk
Functional: PBE
Structure: relaxed

Cell: 9.701 9.029 9.029 Å, 116.91 92.89 92.89°
Fractional coordinates of all 20 atoms:
Nd 0.554 0.757 0.120
Nd 0.383 0.514 0.291
Nd 0.117 0.709 0.486
Nd 0.946 0.880 0.243
Nd 0.817 0.449 0.997
Nd 0.883 0.291 0.514
Nd 0.617 0.486 0.709
Nd 0.683 0.003 0.551
Nd 0.183 0.551 0.003
Nd 0.054 0.120 0.757
Nd 0.446 0.243 0.880
Nd 0.317 0.997 0.449
Tm 0.951 0.686 0.792
Tm 0.451 0.792 0.686
Tm 0.549 0.208 0.314
Tm 0.049 0.314 0.208
Er 0.750 0.587 0.413
Er 0.250 0.413 0.587
Ac 0.250 0.969 0.031
Ac 0.750 0.031 0.969

Properties
Formation energy ... 0.12 eV per atom
Fermi-level density of states ... 14.32 states/eV/f.u.
Spin magnetization ... 0.00 Bohr magnetons per cell

(6)
Compound: AcNdErTm
Source: Alexandria via LeMat-Bulk
Functional: PBE
Structure: relaxed

Cell: 5.840 5.840 5.840 Å, 60.00 60.00 60.00°
Fractional coordinates of all 4 atoms:
Er 0.500 0.500 0.500
Tm 0.000 0.000 0.000
Nd 0.250 0.250 0.250
Ac 0.750 0.750 0.750

Properties
Formation energy ... 0.10 eV per atom
Fermi-level density of states ... 6.71 states/eV/f.u.
Energy above the lowest structure with this stoichiometry ... 3.0 kJ/mol of atoms
Spin magnetization ... 0.01 Bohr magnetons per cell

(7)
Compound: AcNd2ErTm5
Source: Alexandria via LeMat-Bulk
Functional: PBE
Structure: relaxed

Cell: 8.804 8.804 9.909 Å, 116.37 116.37 90.00°
Fractional coordinates of all 18 atoms:
Tm 0.160 0.074 0.734
Tm 0.500 0.500 0.000
Tm 0.074 0.574 0.734
Tm 0.340 0.840 0.266
Tm 0.840 0.926 0.266
Tm 0.426 0.340 0.266
Tm 0.660 0.160 0.734
Tm 0.926 0.426 0.266
Tm 0.574 0.660 0.734
Tm 0.000 0.000 0.000
Nd 0.617 0.117 0.000
Nd 0.383 0.883 0.000
Nd 0.883 0.617 0.000
Nd 0.117 0.383 0.000
Ac 0.750 0.750 0.500
Ac 0.250 0.250 0.500
Er 0.250 0.750 0.500
Er 0.750 0.250 0.500

Properties
Formation energy ... 0.26 eV per atom
Fermi-level density of states ... 9.45 states/eV/f.u.
Spin magnetization ... 0.00 Bohr magnetons per cell

(8)
Compound: AcNdEr2Tm4
Source: Alexandria via LeMat-Bulk
Functional: PBE
Structure: relaxed

Cell: 9.580 9.580 11.848 Å, 128.20 128.20 88.79°
Site moments in Bohr magnetons follow the coordinates.
Fractional coordinates of all 16 atoms:
Ac 0.000 0.500 0.000  0.04
Ac 0.000 0.500 0.500  0.04
Tm 0.739 0.760 0.004  0.07
Tm 0.260 0.239 0.504  0.07
Tm 0.742 0.232 0.487  0.07
Tm 0.268 0.758 0.013  0.07
Tm 0.261 0.240 0.996  0.07
Tm 0.258 0.768 0.513  0.07
Tm 0.740 0.761 0.496  0.07
Tm 0.732 0.242 0.987  0.07
Er 0.500 0.000 0.500  0.06
Er 0.000 0.000 0.500  0.06
Er 0.500 0.500 0.000  0.06
Er 0.500 0.000 0.000  0.06
Nd 0.000 0.000 0.000  0.07
Nd 0.500 0.500 0.500  0.07

Properties
Formation energy ... 0.46 eV per atom
Fermi-level density of states ... 18.86 states/eV/f.u.
Spin magnetization ... 1.39 Bohr magnetons per cell

(9)
Compound: AcNd2Er2Tm2
Source: Alexandria via LeMat-Bulk
Functional: PBE
Structure: relaxed

Cell: 5.117 6.289 8.100 Å, 97.85 90.00 114.01°
Fractional coordinates of all 7 atoms:
Ac 0.000 0.000 0.000
Nd 0.715 0.431 0.153
Nd 0.285 0.569 0.847
Tm 0.858 0.716 0.567
Tm 0.142 0.284 0.433
Er 0.425 0.851 0.296
Er 0.575 0.149 0.704

Properties
Formation energy ... 0.05 eV per atom
Fermi-level density of states ... 10.55 states/eV/f.u.
Spin magnetization ... 0.00 Bohr magnetons per cell

(10)
Compound: AcNd2Er4Tm
Source: Alexandria via LeMat-Bulk
Functional: PBE
Structure: relaxed

Cell: 9.614 9.614 11.919 Å, 128.31 128.31 88.57°
Fractional coordinates of all 16 atoms:
Tm 0.000 0.000 0.000
Tm 0.500 0.500 0.500
Er 0.745 0.231 0.988
Er 0.258 0.242 0.493
Er 0.742 0.758 0.993
Er 0.269 0.755 0.512
Er 0.742 0.758 0.507
Er 0.258 0.242 0.007
Er 0.731 0.244 0.488
Er 0.256 0.769 0.012
Nd 0.500 0.000 0.500
Nd 0.500 0.500 0.000
Nd 0.500 0.000 0.000
Nd 0.000 0.000 0.500
Ac 0.000 0.500 0.000
Ac 0.000 0.500 0.500

Properties
Formation energy ... 0.43 eV per atom
Fermi-level density of states ... 18.65 states/eV/f.u.
Spin magnetization ... 0.83 Bohr magnetons per cell

(11)
Compound: AcNdEr4Tm2
Source: Alexandria via LeMat-Bulk
Functional: PBE
Structure: relaxed

Cell: 9.587 9.587 11.864 Å, 128.23 128.23 88.71°
Site moments in Bohr magnetons follow the coordinates.
Fractional coordinates of all 16 atoms:
Er 0.732 0.243 0.987  0.14
Er 0.741 0.763 0.497  0.14
Er 0.268 0.757 0.013  0.14
Er 0.259 0.237 0.503  0.14
Er 0.263 0.241 0.997  0.14
Er 0.743 0.232 0.487  0.14
Er 0.257 0.768 0.513  0.14
Er 0.737 0.759 0.003  0.14
Ac 0.000 0.500 0.000  0.08
Ac 0.000 0.500 0.500  0.08
Nd 0.500 0.500 0.500  0.14
Nd 0.000 0.000 0.000  0.14
Tm 0.500 0.000 0.500  0.12
Tm 0.500 0.500 0.000  0.13
Tm 0.500 0.000 0.000  0.12
Tm 0.000 0.000 0.500  0.13

Properties
Formation energy ... 0.45 eV per atom
Fermi-level density of states ... 18.22 states/eV/f.u.
Spin magnetization ... 2.87 Bohr magnetons per cell

(12)
Compound: AcNdErTm
Source: Alexandria via LeMat-Bulk
Functional: PBE
Structure: relaxed

Cell: 3.681 3.679 12.103 Å, 90.02 98.70 119.97°
Fractional coordinates of all 4 atoms:
Tm 0.129 0.963 0.105
Er 0.305 0.550 0.873
Ac 0.964 0.381 0.360
Nd 0.480 0.137 0.632

Properties
Formation energy ... 0.07 eV per atom
Fermi-level density of states ... 5.19 states/eV/f.u.
Energy above the lowest structure with this stoichiometry ... 0.0 kJ/mol of atoms
Spin magnetization ... 0.00 Bohr magnetons per cell

Total energy readings, ordered: -5.082 -5.087 -5.044 -3.750 -4.502 -4.375 -4.243 -4.030 -4.482 -4.112 -4.056 -4.406 eV/atom